# Al2CdAs PBE relaxed
data_Al2CdAs
_chemical_formula_sum 'Al4 Cd2 As2'
_space_group_name_H-M_alt 'I -4 m 2'
_space_group_IT_number 119
_space_group_name_Hall 'I -4 -2'
_cell_length_a 4.213
_cell_length_b 4.213
_cell_length_c 8.765
_cell_angle_alpha 90.00
_cell_angle_beta 90.00
_cell_angle_gamma 90.00
loop_
_atom_site_label
_atom_site_type_symbol
_atom_site_fract_x
_atom_site_fract_y
_atom_site_fract_z
_atom_site_occupancy
Al1 Al 0.000 0.000 0.000 1
Al2 Al 0.000 0.500 0.250 1
Cd1 Cd 0.000 0.000 0.500 1
As1 As 0.000 0.500 0.750 1
# Total magnetization in μB per formula unit: 0.0
# Calculated formation energy in meV per atom: 200
# Polymorph energy (0 for the lowest one) in eV per formula unit: 0.59
# E in eV/atom: -3.06